[1]
This record from Alexandria describes a relaxed Ba3AlGe3 crystal. The functional is GGA-PBE.

a b c (Å): 4.3497 5.1110 19.9523
angles (deg): 90.00 90.00 90.00
With the nearest neighbours (Å) after each atom.
Sites, in units of the cell vectors:
1 Ba 0.0000 0.0000 0.0000  2 Al 3.49, 5 Ge 3.50-3.56
2 Ba 0.0000 0.0000 0.3656  7 Ge 3.47-3.69
3 Ba 0.0000 0.5000 0.6884  8 Ge 3.55-3.75, 4 Al 3.63
4 Ba 0.5000 0.0000 0.1884  8 Ge 3.55-3.75, 4 Al 3.63
5 Ba 0.5000 0.5000 0.5000  2 Al 3.49, 5 Ge 3.50-3.56
6 Ba 0.5000 0.5000 0.8656  7 Ge 3.47-3.69
7 Al 0.0000 0.5000 0.1191  3 Ge 2.55-2.57
8 Al 0.5000 0.0000 0.6191  3 Ge 2.55-2.57
9 Ge 0.0000 0.0000 0.5507  2 Al 2.57
10 Ge 0.0000 0.0000 0.8213  2 Ge 2.63
11 Ge 0.0000 0.5000 0.2470  1 Al 2.55, 2 Ge 2.63
12 Ge 0.5000 0.0000 0.7470  1 Al 2.55, 2 Ge 2.63
13 Ge 0.5000 0.5000 0.0507  2 Al 2.57
14 Ge 0.5000 0.5000 0.3213  2 Ge 2.63

Calculated values
- E: -3.874 eV per atom
- ΔE_f: -536.8 meV per atom

[2]
This record from Alexandria describes a relaxed ZnB3Ir crystal. The functional is GGA-PBE.

a b c (Å): 4.1585 4.1585 4.1585
angles (deg): 90.00 90.00 90.00
With the nearest neighbours (Å) after each atom.
Sites, in units of the cell vectors:
1 Zn 0.0000 0.0000 0.0000  12 B 2.94
2 B 0.0000 0.5000 0.5000  2 Ir 2.08
3 B 0.5000 0.0000 0.5000  2 Ir 2.08
4 B 0.5000 0.5000 0.0000  2 Ir 2.08
5 Ir 0.5000 0.5000 0.5000  6 B 2.08

Calculated values
- E: -5.117 eV per atom
- Offset from the most stable computed form: 0.0 meV/atom
- ΔE_f: 916.4 meV per atom